# 1
MgMnC2 | PBEsol | relaxed

Energy of formation in meV per atom: 621
Symmetry: I-42d

Structure (POSCAR):
```
MgMnC2
1.0
-2.332 2.332 4.450
2.332 -2.332 4.450
2.332 2.332 -4.450
Mg Mn C
2 2 4
direct
0.000 0.000 0.000
0.750 0.250 0.500
0.250 0.750 0.500
0.500 0.500 0.000
0.209 0.625 0.084
0.375 0.459 0.584
0.541 0.125 0.916
0.875 0.791 0.416
```

# 2
MgMoC2 | PBEsol | relaxed

Energy of formation in meV per atom: 476
Symmetry: I-42d

Structure (POSCAR):
```
MgMoC2
1.0
-2.458 2.458 4.580
2.458 -2.458 4.580
2.458 2.458 -4.580
Mg Mo C
2 2 4
direct
0.000 0.000 0.000
0.750 0.250 0.500
0.250 0.750 0.500
0.500 0.500 0.000
0.174 0.625 0.049
0.375 0.424 0.549
0.576 0.125 0.951
0.875 0.826 0.451
```

# 3
MgPdCN2 | PBEsol | relaxed

Symmetry: P4/mmm
Raw formation energy in eV/atom: 1.874

Structure (POSCAR):
```
MgPdCN2
1.0
3.525 0.000 0.000
0.000 3.525 0.000
0.000 0.000 4.129
Mg Pd C N
1 1 1 2
direct
0.000 0.000 0.000
0.500 0.500 0.000
0.000 0.000 0.500
0.000 0.500 0.500
0.500 0.000 0.500
```

# 4
MgCSeN2 | PBEsol | relaxed

Symmetry: P4/mmm
Raw formation energy in eV/atom: 1.676
Relative energy among the computed polymorphs in meV per atom: 0

Structure (POSCAR):
```
MgCSeN2
1.0
3.538 0.000 0.000
0.000 3.538 0.000
0.000 0.000 4.485
Mg C Se N
1 1 1 2
direct
0.000 0.000 0.000
0.500 0.500 0.500
0.500 0.500 0.000
0.000 0.500 0.500
0.500 0.000 0.500
```

# 5
MgCSeN2 | PBEsol | relaxed

Symmetry: P4/mmm
Raw formation energy in eV/atom: 2.542
Relative energy among the computed polymorphs in meV per atom: 866

Structure (POSCAR):
```
MgCSeN2
1.0
3.798 0.000 0.000
0.000 3.798 0.000
0.000 0.000 5.513
Mg C Se N
1 1 1 2
direct
0.000 0.000 0.000
0.500 0.500 0.500
0.000 0.000 0.500
0.000 0.500 0.000
0.500 0.000 0.000
```

# 6
MgNbC3 | PBEsol | relaxed

Energy of formation in meV per atom: 1622
Symmetry: Pm-3m

Structure (POSCAR):
```
MgNbC3
1.0
4.154 0.000 0.000
0.000 4.154 0.000
0.000 0.000 4.154
Mg Nb C
1 1 3
direct
0.000 0.000 0.000
0.500 0.500 0.500
0.000 0.500 0.500
0.500 0.000 0.500
0.500 0.500 0.000
```

# 7
Nd6Mg23C | PBEsol | relaxed

Energy of formation in meV per atom: -101
Symmetry: Fm-3m

Structure (POSCAR):
```
Nd6Mg23C
1.0
0.000 7.136 7.136
7.136 0.000 7.136
7.136 7.136 0.000
Nd Mg C
6 23 1
direct
0.182 0.182 0.818
0.182 0.818 0.182
0.182 0.818 0.818
0.818 0.182 0.182
0.818 0.182 0.818
0.818 0.818 0.182
0.000 0.000 0.500
0.000 0.500 0.000
0.000 0.500 0.500
0.140 0.620 0.620
0.170 0.170 0.170
0.170 0.170 0.489
0.170 0.489 0.170
0.380 0.380 0.380
0.380 0.380 0.860
0.380 0.860 0.380
0.489 0.170 0.170
0.500 0.000 0.000
0.500 0.000 0.500
0.500 0.500 0.000
0.500 0.500 0.500
0.511 0.830 0.830
0.620 0.140 0.620
0.620 0.620 0.140
0.620 0.620 0.620
0.830 0.511 0.830
0.830 0.830 0.511
0.830 0.830 0.830
0.860 0.380 0.380
0.000 0.000 0.000
```

# 8
MgNi3C | PBEsol | relaxed

Energy of formation in meV per atom: -166
Symmetry: Pm-3m

Structure (POSCAR):
```
MgNi3C
1.0
3.764 0.000 0.000
0.000 3.764 0.000
0.000 0.000 3.764
Mg Ni C
1 3 1
direct
0.000 0.000 0.000
0.000 0.500 0.500
0.500 0.000 0.500
0.500 0.500 0.000
0.500 0.500 0.500
```

# 9
MgC2O4 | PBEsol | relaxed

Symmetry: P2_1/c
Raw formation energy in eV/atom: -1.662

Structure (POSCAR):
```
MgC2O4
1.0
5.403 0.000 0.000
0.000 5.030 0.000
-3.003 0.000 5.192
Mg C O
2 4 8
direct
0.000 0.000 0.000
0.000 0.500 0.500
0.454 0.120 0.908
0.454 0.380 0.408
0.546 0.620 0.592
0.546 0.880 0.092
0.199 0.204 0.816
0.199 0.296 0.316
0.359 0.717 0.635
0.359 0.783 0.135
0.641 0.217 0.865
0.641 0.283 0.365
0.801 0.704 0.684
0.801 0.796 0.184
```

# 10
MgCO2 | PBEsol | relaxed

Symmetry: I-42d
Raw formation energy in eV/atom: -0.138

Structure (POSCAR):
```
MgCO2
1.0
-2.084 2.084 4.907
2.084 -2.084 4.907
2.084 2.084 -4.907
Mg C O
2 2 4
direct
0.000 0.000 0.000
0.750 0.250 0.500
0.250 0.750 0.500
0.500 0.500 0.000
0.159 0.625 0.034
0.375 0.409 0.534
0.591 0.125 0.966
0.875 0.841 0.466
```

# 11
Mg3CO | PBEsol | relaxed

Symmetry: Pm-3m
Raw formation energy in eV/atom: -0.426

Structure (POSCAR):
```
Mg3CO
1.0
3.943 0.000 0.000
0.000 3.943 0.000
0.000 0.000 3.943
Mg C O
3 1 1
direct
0.000 0.000 0.500
0.000 0.500 0.000
0.500 0.000 0.000
0.500 0.500 0.500
0.000 0.000 0.000
```

# 12
Mg3C2O7 | PBEsol | relaxed

Symmetry: I-42m
Raw formation energy in eV/atom: -2.091

Structure (POSCAR):
```
Mg3C2O7
1.0
-4.435 4.435 4.050
4.435 -4.435 4.050
4.435 4.435 -4.050
Mg C O
6 4 14
direct
0.000 0.283 0.283
0.000 0.717 0.717
0.250 0.750 0.500
0.283 0.000 0.283
0.717 0.000 0.717
0.750 0.250 0.500
0.031 0.031 0.511
0.479 0.969 0.000
0.521 0.521 0.489
0.969 0.479 0.000
0.000 0.500 0.500
0.071 0.071 0.362
0.076 0.659 0.178
0.102 0.924 0.583
0.291 0.929 0.000
0.341 0.519 0.417
0.481 0.898 0.822
0.500 0.000 0.500
0.519 0.341 0.417
0.659 0.076 0.178
0.709 0.709 0.638
0.898 0.481 0.822
0.924 0.102 0.583
0.929 0.291 0.000
```

What did we get for volume? Answer: 96.8 110.6 51.3 56.1 79.5 71.7 726.8 53.3 141.1 85.2 61.3 318.6 Å³/cell, in the order shown.
What did we get for ρ? Answer: 3.54 4.33 5.53 4.24 2.99 3.55 3.28 6.61 2.64 2.66 2.73 2.18 g cm⁻³, in the order shown.
What did we get for VASP energy? Answer: -7.070 -7.717 -5.000 -4.777 -3.911 -6.672 -2.772 -6.133 -7.663 -5.603 -4.435 -7.190 eV/atom, in the order shown.